## Pm6Tl2Ni (PBE)

Data for a relaxed Pm6Tl2Ni crystal.

a = 8.9765 Å, b = 8.9765 Å, c = 3.7978 Å
α = 90.00°, β = 90.00°, γ = 120.00°
Fractional coordinates of all 9 atoms:
Pm 0.0000 0.4020 0.0000
Pm 0.0000 0.7651 0.5000
Pm 0.2349 0.2349 0.5000
Pm 0.4020 0.0000 0.0000
Pm 0.5980 0.5980 0.0000
Pm 0.7651 0.0000 0.5000
Tl 0.3333 0.6667 0.5000
Tl 0.6667 0.3333 0.5000
Ni 0.0000 0.0000 0.0000

Output
As for the formation energy: -0.262 eV/atom. The density of states at the Fermi level comes out at 1.379 states/eV per atom. For the total energy, the calculation gives -4.597 eV per atom.